1.
Rb2VAgS4 (GGA-PBE, optimized geometry); formation energy without anion corrections = -0.96 eV per atom; space group = Fddd (70); energy above the lowest structure with this stoichiometry = 0 kJ/mol of formula units
1.0
0.000 6.849 11.841
2.920 0.000 11.841
2.920 6.849 0.000
Rb V Ag S
4 2 2 8
Direct
0.054 0.054 0.696
0.304 0.304 0.946
0.696 0.696 0.054
0.946 0.946 0.304
0.125 0.125 0.125
0.875 0.875 0.875
0.375 0.375 0.375
0.625 0.625 0.625
0.072 0.287 0.369
0.228 0.631 0.713
0.287 0.072 0.772
0.369 0.772 0.072
0.631 0.228 0.928
0.713 0.928 0.228
0.772 0.369 0.287
0.928 0.713 0.631

=====

2.
RbVAgS4 (GGA-PBE, optimized geometry); formation energy without anion corrections = -0.63 eV per atom; space group = P2_1/m (11)
1.0
5.831 0.000 0.000
0.000 7.277 0.000
-2.841 0.000 9.183
Rb V Ag S
2 2 2 8
Direct
0.140 0.250 0.352
0.860 0.750 0.648
0.361 0.750 0.233
0.639 0.250 0.767
0.148 0.250 0.782
0.852 0.750 0.218
0.068 0.750 0.034
0.238 0.750 0.427
0.434 0.002 0.765
0.434 0.498 0.765
0.566 0.502 0.235
0.566 0.998 0.235
0.762 0.250 0.573
0.932 0.250 0.966

=====

3.
Rb2V2AgS6 (GGA-PBE, optimized geometry); formation energy without anion corrections = -0.63 eV per atom; space group = R-3m (166)
1.0
3.627 2.094 7.099
-3.627 2.094 7.099
0.000 -4.188 7.099
Rb V Ag S
2 2 1 6
Direct
0.241 0.241 0.241
0.759 0.759 0.759
0.432 0.432 0.432
0.568 0.568 0.568
0.000 0.000 0.000
0.248 0.248 0.740
0.248 0.740 0.248
0.260 0.752 0.752
0.740 0.248 0.248
0.752 0.260 0.752
0.752 0.752 0.260

=====

4.
RbAgWS4 (GGA-PBE, optimized geometry); formation energy without anion corrections = -0.64 eV per atom; space group = P2_1/m (11)
1.0
5.896 0.000 0.000
0.000 7.508 0.000
-2.855 0.000 9.482
Rb Ag W S
2 2 2 8
Direct
0.160 0.250 0.358
0.840 0.750 0.642
0.151 0.250 0.794
0.849 0.750 0.206
0.354 0.750 0.217
0.646 0.250 0.783
0.059 0.750 0.019
0.234 0.750 0.413
0.439 0.002 0.782
0.439 0.498 0.782
0.561 0.502 0.218
0.561 0.998 0.218
0.766 0.250 0.587
0.941 0.250 0.981

=====

5.
Rb2AgWS4 (GGA-PBE, optimized geometry); formation energy without anion corrections = -0.72 eV per atom; space group = Fddd (70)
1.0
0.000 6.977 12.029
2.921 0.000 12.029
2.921 6.977 0.000
Rb Ag W S
4 2 2 8
Direct
0.053 0.053 0.697
0.303 0.303 0.947
0.697 0.697 0.053
0.947 0.947 0.303
0.125 0.125 0.125
0.875 0.875 0.875
0.375 0.375 0.375
0.625 0.625 0.625
0.011 0.628 0.543
0.318 0.543 0.628
0.372 0.989 0.682
0.457 0.682 0.989
0.543 0.318 0.011
0.628 0.011 0.318
0.682 0.457 0.372
0.989 0.372 0.457

=====

6.
Rb3AgW2S8 (GGA-PBE, optimized geometry); formation energy without anion corrections = -0.79 eV per atom; space group = P-3m1 (164)
1.0
7.205 0.000 0.000
-3.603 6.240 0.000
0.000 0.000 9.539
Rb Ag W S
3 1 2 8
Direct
0.000 0.000 0.000
0.333 0.667 0.649
0.667 0.333 0.351
0.000 0.000 0.500
0.333 0.667 0.233
0.667 0.333 0.767
0.166 0.332 0.311
0.166 0.834 0.311
0.332 0.166 0.689
0.333 0.667 0.004
0.667 0.333 0.996
0.668 0.834 0.311
0.834 0.166 0.689
0.834 0.668 0.689

=====

7.
RbAg2WS4 (GGA-PBE, optimized geometry); formation energy without anion corrections = -0.46 eV per atom; space group = I-42m (121)
1.0
6.786 0.000 0.000
0.000 6.786 0.000
0.000 0.000 9.027
Rb Ag W S
2 4 2 8
Direct
0.000 0.000 0.000
0.500 0.500 0.500
0.000 0.500 0.250
0.000 0.500 0.750
0.500 0.000 0.250
0.500 0.000 0.750
0.000 0.000 0.500
0.500 0.500 0.000
0.189 0.189 0.353
0.189 0.811 0.647
0.311 0.311 0.853
0.311 0.689 0.147
0.689 0.311 0.147
0.689 0.689 0.853
0.811 0.189 0.647
0.811 0.811 0.353

=====

8.
Rb2YAgS (GGA-PBE, optimized geometry); formation energy without anion corrections = -0.05 eV per atom; space group = P4/mmm (123)
1.0
7.719 0.000 0.000
0.000 7.719 0.000
0.000 0.000 5.047
Rb Y Ag S
2 1 1 1
Direct
0.000 0.500 0.000
0.500 0.000 0.000
0.000 0.000 0.000
0.500 0.500 0.500
0.000 0.000 0.500

=====

9.
Rb3Zr3AgS8 (GGA-PBE, optimized geometry); formation energy without anion corrections = -1.29 eV per atom; space group = R-3m (166)
1.0
3.852 2.224 7.692
-3.852 2.224 7.692
0.000 -4.448 7.692
Rb Zr Ag S
3 3 1 8
Direct
0.000 0.500 0.500
0.500 0.000 0.500
0.500 0.500 0.000
0.000 0.000 0.500
0.000 0.500 0.000
0.500 0.000 0.000
0.500 0.500 0.500
0.204 0.741 0.741
0.230 0.230 0.230
0.259 0.259 0.796
0.259 0.796 0.259
0.741 0.204 0.741
0.741 0.741 0.204
0.770 0.770 0.770
0.796 0.259 0.259

=====

10.
Rb2Zr3AgS8 (GGA-PBE, optimized geometry); formation energy without anion corrections = -1.26 eV per atom; space group = R3m (160)
1.0
3.765 2.174 8.301
-3.765 2.174 8.301
0.000 -4.347 8.301
Rb Zr Ag S
2 3 1 8
Direct
0.000 0.000 0.000
0.349 0.349 0.349
0.352 0.352 0.845
0.352 0.845 0.352
0.845 0.352 0.352
0.847 0.847 0.847
0.081 0.081 0.560
0.081 0.560 0.081
0.127 0.127 0.127
0.140 0.617 0.617
0.560 0.081 0.081
0.576 0.576 0.576
0.617 0.140 0.617
0.617 0.617 0.140

=====

11.
RbAgSb2 (GGA-PBE, optimized geometry); formation energy without anion corrections = -0.19 eV per atom; space group = P2/m (10); energy above the lowest structure with this stoichiometry = 0 kJ/mol of formula units
1.0
5.084 0.000 0.000
0.000 4.561 0.000
-1.537 0.000 6.333
Rb Ag Sb
1 1 2
Direct
0.000 0.000 0.000
0.500 0.000 0.500
0.270 0.500 0.632
0.730 0.500 0.368

=====

12.
RbAg5Sb2 (GGA-PBE, optimized geometry); formation energy without anion corrections = -0.04 eV per atom; space group = Immm (71)
1.0
4.732 0.000 0.000
0.000 7.927 0.000
0.000 0.000 10.775
Rb Ag Sb
2 10 4
Direct
0.000 0.000 0.000
0.500 0.500 0.500
0.000 0.175 0.355
0.000 0.175 0.645
0.000 0.500 0.000
0.000 0.825 0.355
0.000 0.825 0.645
0.500 0.000 0.500
0.500 0.325 0.145
0.500 0.325 0.855
0.500 0.675 0.145
0.500 0.675 0.855
0.000 0.500 0.253
0.000 0.500 0.747
0.500 0.000 0.247
0.500 0.000 0.753

=====

Q: The lowest formation energy without anion corrections belongs to which entry?
A: Rb3Zr3AgS8